The following is a DFT calculation (meta-GGA SCAN) of a PBEsol-optimized structure of Li5Mg. Values from VASP.

Geometry as Quantum ESPRESSO input:
```
&SYSTEM
  ibrav = 0, nat = 6, ntyp = 2
/
ATOMIC_SPECIES
Li 6.94 Li.upf
Mg 24.30 Mg.upf
ATOMIC_POSITIONS crystal
Li 0.000 0.000 0.000
Li 0.022 0.022 0.555
Li 0.330 0.330 0.665
Li 0.657 0.657 0.335
Li 0.690 0.690 0.881
Mg 0.354 0.354 0.219
CELL_PARAMETERS angstrom
5.497 -1.601 0.000
5.497 1.601 0.000
-2.241 0.000 6.774
```

- Uncorrected energy: -2.84 eV/atom
- Symmetry: No. 8
- Calculated density: 0.82 g cm⁻³